This record from Alexandria describes a relaxed Sr2Tl2Hg7Bi crystal. The functional is PBE.

The space group is Cmmm (No. 65) and the conventional cell measures 7.2765, 7.5190 and 13.3336 Å, with angles of 90.00, 90.00 and 90.00 degrees. The asymmetric unit holds Sr at (0.0000, 0.0000, 0.1939), Tl at (0.0000, 0.5000, 0.2087), Hg at (0.0000, 0.0000, 0.5000), Hg at (0.0000, 0.2818, 0.0000), Hg at (0.2500, 0.2500, 0.3541) and Bi at (0.0000, 0.5000, 0.5000).

Its crystal system is orthorhombic. Its volume is 365 Å³/f.u. The total energy comes out at -1.363 eV/atom.